(1)
Fe2AsW after structural relaxation, computed with GGA-PBE.

a = 4.238 Å, b = 4.238 Å, c = 4.238 Å
α = 60.00°, β = 60.00°, γ = 60.00°
Last column: magnetic moment on the atom in μB.
Positions (direct):
Fe: 0.250 0.250 0.250  1.93
Fe: 0.000 0.000 0.000  2.32
W: 0.750 0.750 0.750  -0.26
As: 0.500 0.500 0.500  0.06

Calculated values
For the formation energy, the calculation gives 22.8 kJ/mol of atoms. The calculated volume is 53.8 Å³/cell.


(2)
SiBiMo2 after structural relaxation, computed with GGA-PBE.

a = 4.599 Å, b = 4.599 Å, c = 4.599 Å
α = 60.00°, β = 60.00°, γ = 60.00°
Positions (direct):
Bi: 0.500 0.500 0.500
Mo: 0.750 0.750 0.750
Mo: 0.250 0.250 0.250
Si: 0.000 0.000 0.000

Calculated values
The calculated volume is 68.8 Å³/cell. The value obtained for the energy relative to the elements, uncorrected is 0.49 eV/atom. For the relative energy among the computed polymorphs, the calculation gives 0.000 eV per atom.


(3)
LaPrMgAu after structural relaxation, computed with GGA-PBE.

a = 5.433 Å, b = 5.433 Å, c = 5.433 Å
α = 60.00°, β = 60.00°, γ = 60.00°
Last column: magnetic moment on the atom in μB.
Positions (direct):
La: 0.250 0.250 0.250  0.06
Au: 0.500 0.500 0.500  0.02
Mg: 0.000 0.000 0.000  0.00
Pr: 0.750 0.750 0.750  0.07

Calculated values
For the formation energy, the calculation gives -34.9 kJ/mol of atoms. The calculated volume is 113.4 Å³/cell. For the relative energy among the computed polymorphs, the calculation gives 0.074 eV per atom.